(1)
! GGA-PBE AcEuN2, optimized geometry; values from VASP
&SYSTEM
  ibrav = 0, nat = 4, ntyp = 3
/
ATOMIC_SPECIES
Ac 227.00 Ac.upf
Eu 151.96 Eu.upf
N 14.01 N.upf
ATOMIC_POSITIONS crystal
Ac 0.500 0.500 0.500
Eu 0.000 0.000 0.000
N 0.254 0.254 0.239
N 0.746 0.746 0.761
CELL_PARAMETERS angstrom
3.774 0.000 0.000
1.887 3.269 0.000
1.887 1.090 6.141
! - E_form (uncorrected): -0.882 eV per atom

---

(2)
! GGA-PBE AcEuN, optimized geometry; values from VASP
&SYSTEM
  ibrav = 0, nat = 3, ntyp = 3
/
ATOMIC_SPECIES
N 14.01 N.upf
Ac 227.00 Ac.upf
Eu 151.96 Eu.upf
ATOMIC_POSITIONS crystal
N 0.615 0.615 0.231
Ac 0.885 0.885 0.771
Eu 0.349 0.349 0.698
CELL_PARAMETERS angstrom
-5.271 0.084 0.149
-0.170 -2.964 -4.359
2.731 -1.876 4.360
! - ΔE to the lowest computed polymorph: 0.900 eV/atom
! - E_form (uncorrected): 0.221 eV per atom

---

(3)
! GGA-PBE AcEuN, optimized geometry; values from VASP
&SYSTEM
  ibrav = 0, nat = 3, ntyp = 3
/
ATOMIC_SPECIES
N 14.01 N.upf
Eu 151.96 Eu.upf
Ac 227.00 Ac.upf
ATOMIC_POSITIONS crystal
N 0.667 0.333 0.331
Eu 0.333 0.667 0.548
Ac 0.000 0.000 0.121
CELL_PARAMETERS angstrom
-1.020 1.259 -3.410
-1.278 -3.328 1.244
-5.366 3.085 2.743
! - ΔE to the lowest computed polymorph: 0.000 eV/atom
! - E_form (uncorrected): -0.679 eV per atom

---

(4)
! GGA-PBE Ac2EuN, optimized geometry; values from VASP
&SYSTEM
  ibrav = 0, nat = 4, ntyp = 3
/
ATOMIC_SPECIES
Eu 151.96 Eu.upf
N 14.01 N.upf
Ac 227.00 Ac.upf
ATOMIC_POSITIONS crystal
Eu 0.500 0.500 0.500
N 0.000 0.000 0.000
Ac 0.066 0.066 0.803
Ac 0.934 0.934 0.197
CELL_PARAMETERS angstrom
4.326 0.000 0.000
2.163 3.747 0.000
2.163 1.249 10.827
! - E_form (uncorrected): 0.008 eV per atom

---

(5)
! GGA-PBE AcEu3N, optimized geometry; values from VASP
&SYSTEM
  ibrav = 0, nat = 5, ntyp = 3
/
ATOMIC_SPECIES
Eu 151.96 Eu.upf
Ac 227.00 Ac.upf
N 14.01 N.upf
ATOMIC_POSITIONS crystal
Eu 0.000 0.500 0.000
Eu 0.000 0.000 0.500
Ac 0.500 0.500 0.500
N 0.000 0.000 0.000
Eu 0.500 0.000 0.000
CELL_PARAMETERS angstrom
5.307 0.000 0.000
0.000 5.307 0.000
0.000 0.000 5.307
! - E_form (uncorrected): -0.214 eV per atom

---

(6)
! GGA-PBE AcEuN, optimized geometry; values from VASP
&SYSTEM
  ibrav = 0, nat = 3, ntyp = 3
/
ATOMIC_SPECIES
Ac 227.00 Ac.upf
N 14.01 N.upf
Eu 151.96 Eu.upf
ATOMIC_POSITIONS crystal
Ac 0.500 0.500 0.500
N 0.250 0.250 0.250
Eu 0.000 0.000 0.000
CELL_PARAMETERS angstrom
4.597 0.000 0.000
2.298 3.981 0.000
2.298 1.327 3.753
! - ΔE to the lowest computed polymorph: 0.518 eV/atom
! - E_form (uncorrected): -0.161 eV per atom

---

(7)
! GGA-PBE NaAcEu2, optimized geometry; values from VASP
&SYSTEM
  ibrav = 0, nat = 4, ntyp = 3
/
ATOMIC_SPECIES
Ac 227.00 Ac.upf
Na 22.99 Na.upf
Eu 151.96 Eu.upf
ATOMIC_POSITIONS crystal
Ac 0.500 0.500 0.500
Na 0.500 0.000 0.000
Eu 0.000 0.500 0.000
Eu 0.000 0.000 0.500
CELL_PARAMETERS angstrom
-1.650 1.064 -3.615
1.223 -5.866 -2.284
-5.746 -1.991 2.037
! - ΔE to the lowest computed polymorph: 0.065 eV/atom
! - Energy of formation: 0.1124 eV/atom

---

(8)
! GGA-PBE NaAcEu, optimized geometry; values from VASP
&SYSTEM
  ibrav = 0, nat = 3, ntyp = 3
/
ATOMIC_SPECIES
Eu 151.96 Eu.upf
Na 22.99 Na.upf
Ac 227.00 Ac.upf
ATOMIC_POSITIONS crystal
Eu 0.666 0.666 0.332
Na 0.001 0.001 0.002
Ac 0.333 0.333 0.666
CELL_PARAMETERS angstrom
-2.927 -2.526 -0.123
2.528 -2.927 -0.042
0.055 2.481 8.574
! - ΔE to the lowest computed polymorph: 0.030 eV/atom
! - Energy of formation: 0.1134 eV/atom

---

no.,calculated density (kg/m³)
1,8920
2,5851
3,7808
4,5866
5,7743
6,9502
7,5437
8,5250